# Cs2LiMgP2 (PBE-GGA, optimized geometry)
data_Cs2LiMgP2
_chemical_formula_sum 'Cs8 Li4 Mg4 P8'
_symmetry_space_group_name_H-M 'I b a m'
_symmetry_Int_Tables_number 72
_symmetry_space_group_name_Hall '-I 2 2c'
_cell_length_a 6.488
_cell_length_b 17.152
_cell_length_c 6.497
_cell_angle_alpha 90.00
_cell_angle_beta 90.00
_cell_angle_gamma 90.00
loop_
_atom_site_label
_atom_site_fract_x
_atom_site_fract_y
_atom_site_fract_z
Cs1 0.236 0.168 0.000
Li1 0.000 0.000 0.250
Mg1 0.000 0.500 0.250
P1 0.243 0.423 0.000
# Density, g/cm3: 3.30
# Crystal system: orthorhombic
# Total magnetization, Bohr magnetons per cell: 0.001
# Calculated formation energy, eV/atom: -0.438